Entry i
## Rb2TiGaF6 (GGA-PBE)

Data for a relaxed Rb2TiGaF6 crystal.

abc: 10.9270 10.9270 10.9270
angles: 34.83 34.83 34.83
Last column: nearest neighbours and their distance in Å.
Fractional coordinates of all 20 atoms:
Rb 0.1303 0.1303 0.1303  12 F 2.99-3.27
Rb 0.2699 0.2699 0.2699  3 F 2.95
Rb 0.7301 0.7301 0.7301  3 F 2.95
Rb 0.8697 0.8697 0.8697  12 F 2.99-3.27
Ti 0.0000 0.0000 0.0000  6 F 1.98
Ti 0.5000 0.5000 0.5000  6 F 2.02
Ga 0.4003 0.4003 0.4003  3 F 2.36
Ga 0.5997 0.5997 0.5997  3 F 2.36
F 0.1612 0.6179 0.6179  1 Ti 2.02
F 0.1779 0.1779 0.7608  1 Ti 1.98
F 0.1779 0.7608 0.1779  1 Ti 1.98
F 0.2392 0.8221 0.8221  1 Ti 1.98
F 0.3821 0.3821 0.8388  1 Ti 2.02
F 0.3821 0.8388 0.3821  1 Ti 2.02
F 0.6179 0.1612 0.6179  1 Ti 2.02
F 0.6179 0.6179 0.1612  1 Ti 2.02
F 0.7608 0.1779 0.1779  1 Ti 1.98
F 0.8221 0.2392 0.8221  1 Ti 1.98
F 0.8221 0.8221 0.2392  1 Ti 1.98
F 0.8388 0.3821 0.3821  1 Ti 2.02

Summary:
Density of states at the Fermi level in states/eV/f.u.: 4.245

Entry ii
## Rb2TiGaF6 (GGA-PBE)

Data for a relaxed Rb2TiGaF6 crystal.

abc: 6.3695 6.3695 6.3695
angles: 120.11 120.11 89.81
Last column: nearest neighbours and their distance in Å.
Fractional coordinates of all 10 atoms:
Rb 0.2500 0.7500 0.5000  12 F 3.19-3.20
Rb 0.7500 0.2500 0.5000  12 F 3.19-3.20
Ti 0.0000 0.0000 0.0000  6 F 1.98-2.02
Ga 0.5000 0.5000 0.0000  6 F 2.49-2.51
F 0.2205 0.2205 0.4410  1 Ti 1.98
F 0.2205 0.7795 0.0000  1 Ti 1.98
F 0.2243 0.2243 0.0000  1 Ti 2.02
F 0.7757 0.7757 0.0000  1 Ti 2.02
F 0.7795 0.2205 0.0000  1 Ti 1.98
F 0.7795 0.7795 0.5590  1 Ti 1.98

Summary:
Density of states at the Fermi level in states/eV/f.u.: 0.289

Name the most stable of them. entry ii.

Entry i
## GaReF2 (GGA-PBE)

Data for a relaxed GaReF2 crystal.

abc: 4.1682 4.1682 4.1682
angles: 60.00 60.00 60.00
Last column: nearest neighbours and their distance in Å.
Fractional coordinates of all 4 atoms:
Ga 0.0000 0.0000 0.0000  8 F 2.55
Re 0.5000 0.5000 0.5000  8 F 2.55
F 0.2500 0.2500 0.2500  4 Re 2.55, 4 Ga 2.55
F 0.7500 0.7500 0.7500  4 Ga 2.55, 4 Re 2.55

Summary:
Density of states at the Fermi level in states/eV/f.u.: 3.841

Entry ii
## GaReF2 (GGA-PBE)

Data for a relaxed GaReF2 crystal.

abc: 8.4430 8.4430 8.4430
angles: 18.68 18.68 18.68
Last column: nearest neighbours and their distance in Å.
Fractional coordinates of all 4 atoms:
Ga 0.0000 0.0000 0.0000  6 F 2.69, 6 Ga 2.74
Re 0.5000 0.5000 0.5000  2 F 1.98
F 0.4206 0.4206 0.4206  1 Re 1.98
F 0.5794 0.5794 0.5794  1 Re 1.98

Summary:
Density of states at the Fermi level in states/eV/f.u.: 1.465

Entry iii
## GaReF2 (GGA-PBE)

Data for a relaxed GaReF2 crystal.

abc: 8.3681 8.3681 8.3681
angles: 18.41 18.41 18.41
Last column: nearest neighbours and their distance in Å.
Fractional coordinates of all 4 atoms:
Ga 0.0000 0.0000 0.0000  2 F 2.08
Re 0.5000 0.5000 0.5000  6 F 2.55, 6 Re 2.68
F 0.0844 0.0844 0.0844  1 Ga 2.08
F 0.9156 0.9156 0.9156  1 Ga 2.08

Summary:
Density of states at the Fermi level in states/eV/f.u.: 1.752

Name the most stable of them. entry ii.

Entry i
## GaReF3 (GGA-PBE)

Data for a relaxed GaReF3 crystal.

abc: 4.3022 4.3022 4.3022
angles: 90.00 90.00 90.00
Last column: nearest neighbours and their distance in Å.
Fractional coordinates of all 5 atoms:
Ga 0.0000 0.0000 0.0000  6 F 2.15
Re 0.5000 0.5000 0.5000  12 F 3.04
F 0.0000 0.0000 0.5000  2 Ga 2.15
F 0.0000 0.5000 0.0000  2 Ga 2.15
F 0.5000 0.0000 0.0000  2 Ga 2.15

Summary:
Density of states at the Fermi level in states/eV/f.u.: 1.175

Entry ii
## GaReF3 (GGA-PBE)

Data for a relaxed GaReF3 crystal.

abc: 4.2464 4.2464 4.2464
angles: 90.00 90.00 90.00
Last column: nearest neighbours and their distance in Å.
Fractional coordinates of all 5 atoms:
Ga 0.0000 0.0000 0.0000  12 F 3.00
Re 0.5000 0.5000 0.5000  6 F 2.12
F 0.0000 0.5000 0.5000  2 Re 2.12
F 0.5000 0.0000 0.5000  2 Re 2.12
F 0.5000 0.5000 0.0000  2 Re 2.12

Summary:
Density of states at the Fermi level in states/eV/f.u.: 3.900

Name the most stable of them. entry ii.

Entry i
## GaRh3F (GGA-PBE)

Data for a relaxed GaRh3F crystal.

abc: 4.6380 4.6380 4.6380
angles: 90.00 90.00 90.00
Last column: nearest neighbours and their distance in Å.
Fractional coordinates of all 5 atoms:
Ga 0.0000 0.0000 0.0000  6 Rh 2.32
Rh 0.0000 0.0000 0.5000  2 Ga 2.32
Rh 0.0000 0.5000 0.0000  2 Ga 2.32
Rh 0.5000 0.0000 0.0000  2 Ga 2.32
F 0.5000 0.5000 0.5000  12 Rh 3.28

Summary:
Density of states at the Fermi level in states/eV/f.u.: 8.159

Entry ii
## GaRh3F (GGA-PBE)

Data for a relaxed GaRh3F crystal.

abc: 4.2457 4.2457 4.2457
angles: 90.00 90.00 90.00
Last column: nearest neighbours and their distance in Å.
Fractional coordinates of all 5 atoms:
Ga 0.0000 0.0000 0.0000  12 Rh 3.00
Rh 0.0000 0.5000 0.5000  2 F 2.12
Rh 0.5000 0.0000 0.5000  2 F 2.12
Rh 0.5000 0.5000 0.0000  2 F 2.12
F 0.5000 0.5000 0.5000  6 Rh 2.12

Summary:
Density of states at the Fermi level in states/eV/f.u.: 6.702

Name the most stable of them. entry ii.